1.
# Ac2AlPdS5 PBE-GGA relaxed
data_Ac2AlPdS5
_symmetry_space_group_name_H-M 'C m c 21'
_symmetry_Int_Tables_number 36
_symmetry_space_group_name_Hall 'C 2c -2'
_cell_length_a 4.0079
_cell_length_b 17.7709
_cell_length_c 11.8021
_cell_angle_alpha 90.00
_cell_angle_beta 90.00
_cell_angle_gamma 90.00
loop_
_atom_site_label
_atom_site_type_symbol
_atom_site_fract_x
_atom_site_fract_y
_atom_site_fract_z
_atom_site_occupancy
Ac1 Ac 0.0000 0.1219 0.0000 1
Ac2 Ac 0.0000 0.1262 0.6157 1
Al1 Al 0.0000 0.4258 0.7681 1
Pd1 Pd 0.0000 0.2415 0.3834 1
S1 S 0.0000 0.0414 0.3614 1
S2 S 0.0000 0.2965 0.9701 1
S3 S 0.0000 0.3160 0.6722 1
S4 S 0.0000 0.3663 0.3060 1
S5 S 0.0000 0.4954 0.6005 1
# Energy relative to the elements, uncorrected ... -1.46 eV per atom

=====

2.
# Ac3Al2SbPd9 PBE-GGA relaxed
data_Ac3Al2SbPd9
_symmetry_space_group_name_H-M 'P -3 m 1'
_symmetry_Int_Tables_number 164
_symmetry_space_group_name_Hall '-P 3 2"'
_cell_length_a 6.8100
_cell_length_b 6.8100
_cell_length_c 8.6490
_cell_angle_alpha 90.00
_cell_angle_beta 90.00
_cell_angle_gamma 120.00
loop_
_atom_site_label
_atom_site_type_symbol
_atom_site_fract_x
_atom_site_fract_y
_atom_site_fract_z
_atom_site_occupancy
Ac1 Ac 0.0000 0.0000 0.0000 1
Ac2 Ac 0.3333 0.6667 0.7031 1
Al1 Al 0.3333 0.6667 0.1660 1
Sb1 Sb 0.0000 0.0000 0.5000 1
Pd1 Pd 0.0000 0.5000 0.0000 1
Pd2 Pd 0.1986 0.3973 0.3845 1
# Energy relative to the elements, uncorrected ... -0.65 eV per atom

=====

3.
# Ac2AlSbPd6 PBE-GGA relaxed
data_Ac2AlSbPd6
_symmetry_space_group_name_H-M 'C 1 2/m 1'
_symmetry_Int_Tables_number 12
_symmetry_space_group_name_Hall '-C 2y'
_cell_length_a 12.2333
_cell_length_b 5.6821
_cell_length_c 8.6846
_cell_angle_alpha 90.00
_cell_angle_beta 132.35
_cell_angle_gamma 90.00
loop_
_atom_site_label
_atom_site_type_symbol
_atom_site_fract_x
_atom_site_fract_y
_atom_site_fract_z
_atom_site_occupancy
Ac1 Ac 0.2482 0.0000 0.2763 1
Al1 Al 0.0000 0.5000 0.0000 1
Sb1 Sb 0.0000 0.0000 0.5000 1
Pd1 Pd 0.0011 0.2531 0.2406 1
Pd2 Pd 0.2449 0.5000 0.0915 1
# Energy relative to the elements, uncorrected ... -0.77 eV per atom

=====

4.
# Ac2ScAl3Pd4 PBE-GGA relaxed
data_Ac2ScAl3Pd4
_symmetry_space_group_name_H-M 'P -4 m 2'
_symmetry_Int_Tables_number 115
_symmetry_space_group_name_Hall 'P -4 -2'
_cell_length_a 4.4642
_cell_length_b 4.4642
_cell_length_c 10.8360
_cell_angle_alpha 90.00
_cell_angle_beta 90.00
_cell_angle_gamma 90.00
loop_
_atom_site_label
_atom_site_type_symbol
_atom_site_fract_x
_atom_site_fract_y
_atom_site_fract_z
_atom_site_occupancy
Ac1 Ac 0.0000 0.5000 0.2391 1
Sc1 Sc 0.0000 0.0000 0.5000 1
Al1 Al 0.0000 0.5000 0.8852 1
Al2 Al 0.5000 0.5000 0.5000 1
Pd1 Pd 0.0000 0.0000 0.0000 1
Pd2 Pd 0.0000 0.5000 0.6438 1
Pd3 Pd 0.5000 0.5000 0.0000 1
# ΔH_f (0 K) ... -821 meV/atom

=====

5.
# Ac2ScAl4Pd3 PBE-GGA relaxed
data_Ac2ScAl4Pd3
_symmetry_space_group_name_H-M 'P -4 m 2'
_symmetry_Int_Tables_number 115
_symmetry_space_group_name_Hall 'P -4 -2'
_cell_length_a 4.3658
_cell_length_b 4.3658
_cell_length_c 11.5946
_cell_angle_alpha 90.00
_cell_angle_beta 90.00
_cell_angle_gamma 90.00
loop_
_atom_site_label
_atom_site_type_symbol
_atom_site_fract_x
_atom_site_fract_y
_atom_site_fract_z
_atom_site_occupancy
Ac1 Ac 0.0000 0.5000 0.2360 1
Sc1 Sc 0.0000 0.0000 0.5000 1
Al1 Al 0.0000 0.0000 0.0000 1
Al2 Al 0.0000 0.5000 0.6522 1
Al3 Al 0.5000 0.5000 0.0000 1
Pd1 Pd 0.0000 0.5000 0.8783 1
Pd2 Pd 0.5000 0.5000 0.5000 1
# ΔH_f (0 K) ... -666 meV/atom

=====

6.
# Ac2AlPdSe5 PBE-GGA relaxed
data_Ac2AlPdSe5
_symmetry_space_group_name_H-M 'C m c 21'
_symmetry_Int_Tables_number 36
_symmetry_space_group_name_Hall 'C 2c -2'
_cell_length_a 4.2365
_cell_length_b 18.4913
_cell_length_c 12.2006
_cell_angle_alpha 90.00
_cell_angle_beta 90.00
_cell_angle_gamma 90.00
loop_
_atom_site_label
_atom_site_type_symbol
_atom_site_fract_x
_atom_site_fract_y
_atom_site_fract_z
_atom_site_occupancy
Ac1 Ac 0.0000 0.1163 0.0000 1
Ac2 Ac 0.0000 0.1200 0.6176 1
Al1 Al 0.0000 0.4073 0.7853 1
Pd1 Pd 0.0000 0.2471 0.4066 1
Se1 Se 0.0000 0.0399 0.3645 1
Se2 Se 0.0000 0.3071 0.6536 1
Se3 Se 0.0000 0.3152 0.9500 1
Se4 Se 0.0000 0.3646 0.3089 1
Se5 Se 0.0000 0.4916 0.6107 1
# Energy relative to the elements, uncorrected ... -1.33 eV per atom

=====

7.
# AcAlSi2Pd5 PBE-GGA relaxed
data_AcAlSi2Pd5
_symmetry_space_group_name_H-M 'P 4/m m m'
_symmetry_Int_Tables_number 123
_symmetry_space_group_name_Hall '-P 4 2'
_cell_length_a 4.2113
_cell_length_b 4.2113
_cell_length_c 10.0037
_cell_angle_alpha 90.00
_cell_angle_beta 90.00
_cell_angle_gamma 90.00
loop_
_atom_site_label
_atom_site_type_symbol
_atom_site_fract_x
_atom_site_fract_y
_atom_site_fract_z
_atom_site_occupancy
Ac1 Ac 0.0000 0.0000 0.0000 1
Al1 Al 0.0000 0.0000 0.5000 1
Si1 Si 0.5000 0.5000 0.2360 1
Pd1 Pd 0.0000 0.5000 0.3510 1
Pd2 Pd 0.5000 0.5000 0.0000 1
# Energy relative to the elements, uncorrected ... -0.65 eV per atom

=====

8.
# Ac2Al4SiPd3 PBE-GGA relaxed
data_Ac2Al4SiPd3
_symmetry_space_group_name_H-M 'P -4 m 2'
_symmetry_Int_Tables_number 115
_symmetry_space_group_name_Hall 'P -4 -2'
_cell_length_a 4.4685
_cell_length_b 4.4685
_cell_length_c 10.4096
_cell_angle_alpha 90.00
_cell_angle_beta 90.00
_cell_angle_gamma 90.00
loop_
_atom_site_label
_atom_site_type_symbol
_atom_site_fract_x
_atom_site_fract_y
_atom_site_fract_z
_atom_site_occupancy
Ac1 Ac 0.0000 0.5000 0.2463 1
Al1 Al 0.0000 0.0000 0.5000 1
Al2 Al 0.0000 0.5000 0.8715 1
Al3 Al 0.5000 0.5000 0.5000 1
Si1 Si 0.5000 0.5000 0.0000 1
Pd1 Pd 0.0000 0.0000 0.0000 1
Pd2 Pd 0.0000 0.5000 0.6268 1
# Energy relative to the elements, uncorrected ... -0.74 eV per atom